No. 1
The following is a DFT calculation (GGA-PBE) of a geometry-optimized Ti2GeBi structure.

abc: 4.768 4.768 4.768
angles: 60.00 60.00 60.00
Sites, in units of the cell vectors:
Ti 0.250 0.250 0.250
Ti 0.750 0.750 0.750
Ge 0.000 0.000 0.000
Bi 0.500 0.500 0.500

Summary:
M_tot: 0.0 μB/f.u.
VASP energy: -6.082 eV per atom
symmetry: Fm-3m, No. 225


No. 2
The following is a DFT calculation (GGA-PBE) of a geometry-optimized Ti2GeBi structure.

abc: 6.022 6.022 7.563
angles: 66.54 66.54 90.00
Sites, in units of the cell vectors:
Ti 0.170 0.625 0.250
Ti 0.580 0.125 0.250
Ti 0.375 0.420 0.750
Ti 0.875 0.830 0.750
Ge 0.500 0.500 0.000
Ge 0.250 0.750 0.500
Bi 0.000 0.000 0.000
Bi 0.750 0.250 0.500

Summary:
M_tot: 0.0 μB/f.u.
VASP energy: -5.632 eV per atom
symmetry: I-42d, No. 122


No. 3
The following is a DFT calculation (GGA-PBE) of a geometry-optimized TiGeBi3 structure.

abc: 5.403 5.403 5.403
angles: 90.00 90.00 90.00
Sites, in units of the cell vectors:
Ti 0.000 0.000 0.000
Bi 0.500 0.000 0.000
Bi 0.000 0.500 0.000
Bi 0.000 0.000 0.500
Ge 0.500 0.500 0.500

Summary:
M_tot: 0.0 μB/f.u.
VASP energy: -4.383 eV per atom
symmetry: Pm-3m, No. 221


No. 4
The following is a DFT calculation (GGA-PBE) of a geometry-optimized TiGe2Bi structure.

abc: 6.042 6.042 7.771
angles: 67.12 67.12 90.00
Sites, in units of the cell vectors:
Ge 0.375 0.420 0.750
Ge 0.170 0.625 0.250
Ge 0.875 0.830 0.750
Ge 0.580 0.125 0.250
Ti 0.500 0.500 0.000
Ti 0.250 0.750 0.500
Bi 0.750 0.250 0.500
Bi 0.000 0.000 0.000

Summary:
M_tot: 0.0 μB/f.u.
VASP energy: -4.906 eV per atom
symmetry: I-42d, No. 122


No. 5
The following is a DFT calculation (GGA-PBE) of a geometry-optimized Ti3GeBi structure.

abc: 5.671 8.269 8.269
angles: 92.71 85.10 85.10
Sites, in units of the cell vectors:
Ti 0.953 0.442 0.816
Ti 0.389 0.115 0.253
Ti 0.889 0.253 0.115
Ti 0.111 0.747 0.885
Ti 0.883 0.974 0.343
Ti 0.547 0.184 0.558
Ti 0.117 0.026 0.657
Ti 0.453 0.816 0.442
Ti 0.611 0.885 0.747
Ti 0.383 0.343 0.974
Ti 0.047 0.558 0.184
Ti 0.617 0.657 0.026
Ge 0.250 0.045 0.955
Ge 0.750 0.174 0.826
Ge 0.750 0.955 0.045
Ge 0.250 0.826 0.174
Bi 0.520 0.459 0.292
Bi 0.980 0.708 0.541
Bi 0.020 0.292 0.459
Bi 0.480 0.541 0.708

Summary:
M_tot: 0.0 μB/f.u.
VASP energy: -6.605 eV per atom
symmetry: C2/c, No. 15


No. 6
The following is a DFT calculation (GGA-PBE) of a geometry-optimized Ti2Ge2Bi structure.

abc: 3.707 3.707 7.469
angles: 75.63 75.63 90.00
Site moments in Bohr magnetons follow the coordinates.
Sites, in units of the cell vectors:
Ge 0.750 0.250 0.500  0.00
Ge 0.250 0.750 0.500  0.00
Bi 0.000 0.000 0.000  -0.02
Ti 0.393 0.393 0.214  0.33
Ti 0.607 0.607 0.786  0.33

Summary:
M_tot: 0.8 μB/f.u.
VASP energy: -6.039 eV per atom
symmetry: I4/mmm, No. 139


No. 7
The following is a DFT calculation (GGA-PBE) of a geometry-optimized TiGeBi3 structure.

abc: 5.440 5.440 5.440
angles: 90.00 90.00 90.00
Sites, in units of the cell vectors:
Bi 0.000 0.500 0.000
Bi 0.500 0.000 0.000
Bi 0.000 0.000 0.500
Ge 0.000 0.000 0.000
Ti 0.500 0.500 0.500

Summary:
M_tot: 0.0 μB/f.u.
VASP energy: -3.877 eV per atom
symmetry: Pm-3m, No. 221


No. 8
The following is a DFT calculation (GGA-PBE) of a geometry-optimized Ti2Ge2Bi structure.

abc: 4.864 4.864 5.582
angles: 64.17 64.17 90.00
Sites, in units of the cell vectors:
Ti 0.750 0.250 0.500
Ti 0.250 0.750 0.500
Ge 0.647 0.647 0.706
Ge 0.353 0.353 0.294
Bi 0.000 0.000 0.000

Summary:
M_tot: 0.0 μB/f.u.
VASP energy: -5.872 eV per atom
symmetry: I4/mmm, No. 139


No. 9
The following is a DFT calculation (GGA-PBE) of a geometry-optimized TlGe2Bi structure.

abc: 6.453 6.453 7.860
angles: 65.76 65.76 90.00
Sites, in units of the cell vectors:
Bi 0.000 0.000 0.000
Bi 0.750 0.250 0.500
Ge 0.133 0.625 0.250
Ge 0.375 0.383 0.750
Ge 0.875 0.867 0.750
Ge 0.617 0.125 0.250
Tl 0.250 0.750 0.500
Tl 0.500 0.500 0.000

Summary:
M_tot: 0.0 μB/f.u.
VASP energy: -3.592 eV per atom
symmetry: I-42d, No. 122


No. 10
The following is a DFT calculation (GGA-PBE) of a geometry-optimized Tl3GeBi structure.

abc: 5.495 5.495 5.495
angles: 90.00 90.00 90.00
Sites, in units of the cell vectors:
Bi 0.500 0.500 0.500
Tl 0.000 0.000 0.500
Tl 0.000 0.500 0.000
Tl 0.500 0.000 0.000
Ge 0.000 0.000 0.000

Summary:
M_tot: 0.0 μB/f.u.
VASP energy: -2.783 eV per atom
symmetry: Pm-3m, No. 221


No. 11
The following is a DFT calculation (GGA-PBE) of a geometry-optimized TlGeBi3 structure.

abc: 5.798 5.798 5.798
angles: 90.00 90.00 90.00
Sites, in units of the cell vectors:
Bi 0.500 0.000 0.000
Bi 0.000 0.000 0.500
Bi 0.000 0.500 0.000
Ge 0.500 0.500 0.500
Tl 0.000 0.000 0.000

Summary:
M_tot: 0.0 μB/f.u.
VASP energy: -2.737 eV per atom
symmetry: Pm-3m, No. 221


No. 12
The following is a DFT calculation (GGA-PBE) of a geometry-optimized TlGe2Bi structure.

abc: 5.256 5.256 5.256
angles: 60.00 60.00 60.00
Sites, in units of the cell vectors:
Tl 0.000 0.000 0.000
Bi 0.500 0.500 0.500
Ge 0.250 0.250 0.250
Ge 0.750 0.750 0.750

Summary:
M_tot: 0.0 μB/f.u.
VASP energy: -3.582 eV per atom
symmetry: Fm-3m, No. 225